[1]
20
Lattice="-0.109 -3.684 3.565 6.361 0.684 0.902 -1.363 5.388 5.526" Properties=species:S:1:pos:R:3 comment="Mg2Ni6AsN (PBE-GGA, optimized geometry)" final_energy_ev_per_cell=-106.23 e_form_raw_ev_per_fu=-2.26 volume_a3_per_cell=260 m_tot_mub_per_atom=0.000 pbc="T T T"
Mg 4.036 0.207 4.026
Mg 0.795 4.462 4.635
Mg 3.466 2.462 6.339
Mg 1.588 1.329 1.422
Ni 0.552 -0.325 3.369
Ni -0.096 2.236 5.996
Ni 5.072 1.861 2.079
Ni 4.356 4.688 4.978
Ni 5.549 2.489 4.500
Ni 5.492 0.561 6.366
Ni 1.735 2.032 4.005
Ni 1.681 0.198 5.780
Ni 3.834 -2.346 3.233
Ni 3.889 -0.496 1.443
Ni 0.076 -0.953 0.947
Ni 0.023 -2.709 2.647
As 3.606 3.155 3.371
As 2.018 -1.619 2.076
N 0.411 0.975 4.708
N 5.214 0.561 0.739

[2]
5
Lattice="4.994 0.000 0.000 0.000 4.994 0.000 0.000 0.000 4.994" Properties=species:S:1:pos:R:3 comment="KMoAs3 (PBE-GGA, optimized geometry)" final_energy_ev_per_cell=-25.74 volume_a3_per_cell=125 formation_energy_ev_per_atom=0.0275 m_tot_mub_per_atom=0.000 pbc="T T T"
K 2.497 2.497 2.497
Mo 0.000 0.000 0.000
As 0.000 2.497 0.000
As 0.000 0.000 2.497
As 2.497 0.000 0.000

[3]
10
Lattice="4.481 0.000 0.000 0.001 7.413 1.934 0.000 0.246 8.076" Properties=species:S:1:pos:R:3 comment="SrMg3Ga (PBE-GGA, optimized geometry)" final_energy_ev_per_cell=-20.93 volume_a3_per_cell=266 formation_energy_ev_per_atom=-0.1944 m_tot_mub_per_atom=0.000 pbc="T T T"
Sr 1.707 3.993 2.856
Sr 3.947 1.207 4.962
Mg 3.950 5.185 5.413
Mg 1.706 7.431 4.337
Mg 3.950 5.287 8.418
Mg 3.950 1.821 0.832
Mg 1.707 3.382 6.976
Mg 1.709 7.570 9.412
Ga 1.708 6.208 6.909
Ga 3.948 6.406 2.842

[4]
12
Lattice="14.008 0.000 0.000 0.000 2.725 0.000 0.000 0.000 4.540" Properties=species:S:1:pos:R:3 comment="NbCo (PBE-GGA, optimized geometry)" final_energy_ev_per_cell=-102.82 volume_a3_per_cell=173 formation_energy_ev_per_atom=0.0193 m_tot_mub_per_atom=0.233 pbc="T T T"
Nb 11.368 0.367 0.678
Nb 9.645 2.358 2.948
Nb 2.641 0.367 0.678
Nb 4.364 2.358 2.948
Nb 0.000 1.917 4.412
Nb 7.004 0.808 2.142
Co 12.042 1.466 2.893
Co 8.970 1.259 0.623
Co 1.966 1.466 2.893
Co 5.038 1.259 0.623
Co 0.000 0.292 2.074
Co 7.004 2.433 4.344

[5]
12
Lattice="-0.423 -5.513 4.348 3.545 -0.555 -6.050 5.569 4.403 4.225" Properties=species:S:1:pos:R:3 comment="La6C2SI3 (PBE-GGA, optimized geometry)" final_energy_ev_per_cell=-69.34 e_form_raw_ev_per_fu=-12.55 volume_a3_per_cell=339 m_tot_mub_per_atom=0.000 pbc="T T T"
La 6.259 -1.892 4.016
La 3.188 -3.498 -0.451
La 2.433 0.227 -1.493
La 7.665 -0.135 0.331
La 5.503 1.832 2.974
La 1.026 -1.530 2.192
C 2.223 -2.207 -2.585
C 0.899 -3.861 0.883
S 0.000 0.000 0.000
I 5.682 0.837 -2.240
I 3.009 -2.502 4.763
I 4.346 -0.833 1.261

[6]
4
Lattice="3.502 0.000 0.000 0.000 3.502 0.000 0.000 0.000 8.822" Properties=species:S:1:pos:R:3 comment="NaLi2Y (PBE-GGA, optimized geometry)" final_energy_ev_per_cell=-11.05 volume_a3_per_cell=108 formation_energy_ev_per_atom=0.1409 m_tot_mub_per_atom=0.000 pbc="T T T"
Y 1.751 1.751 4.411
Na 1.751 1.751 0.000
Li 0.000 0.000 6.658
Li 0.000 0.000 2.164

[7]
14
Lattice="4.180 0.000 0.000 -2.090 6.769 0.000 0.000 0.000 14.853" Properties=species:S:1:pos:R:3 comment="RbSb2Se4 (PBE-GGA, optimized geometry)" final_energy_ev_per_cell=-52.17 e_form_raw_ev_per_fu=-2.93 volume_a3_per_cell=420 m_tot_mub_per_atom=0.000 pbc="T T T"
Rb 2.090 1.345 11.139
Rb 0.000 5.424 3.713
Sb 0.000 1.855 6.419
Sb 2.090 4.914 13.845
Sb 0.000 1.855 1.008
Sb 2.090 4.914 8.434
Se 2.090 3.674 1.508
Se 2.090 3.674 5.919
Se 0.000 3.095 13.345
Se 0.000 3.095 8.934
Se 2.090 5.436 11.139
Se 0.000 1.333 3.713
Se 2.090 0.000 0.000
Se 2.090 0.000 7.426

[8]
16
Lattice="6.410 -0.573 0.142 -2.419 5.964 0.142 -1.518 -2.050 7.191" Properties=species:S:1:pos:R:3 comment="TlAgRuO5 (PBE-GGA, optimized geometry)" final_energy_ev_per_cell=-86.86 e_form_raw_ev_per_fu=-4.15 volume_a3_per_cell=269 m_tot_mub_per_atom=0.138 pbc="T T T"
Tl -0.759 -1.025 3.596
Tl 0.000 0.000 0.000
Ag -0.189 3.519 1.940
Ag 2.662 -0.179 5.535
Ru 3.386 0.872 1.940
Ru -0.913 2.468 5.535
O -2.049 4.896 1.940
O 4.522 -1.556 5.535
O 5.078 1.216 1.357
O -2.605 2.125 6.117
O 3.552 -0.846 2.522
O -1.079 4.186 4.953
O 2.885 1.831 3.336
O -0.412 1.510 4.139
O 2.323 1.072 0.543
O 0.150 2.268 6.931

[9]
10
Lattice="-1.502 -6.691 0.149 6.692 -1.500 0.098 -0.037 0.098 4.015" Properties=species:S:1:pos:R:3 comment="Hg2Pt2Rh (PBE-GGA, optimized geometry)" final_energy_ev_per_cell=-37.79 volume_a3_per_cell=189 formation_energy_ev_per_atom=0.2278 m_tot_mub_per_atom=0.133 pbc="T T T"
Rh 0.000 0.000 0.000
Rh 2.595 -4.096 0.124
Hg 4.224 -2.115 2.099
Hg 4.509 -5.693 2.189
Hg 0.930 -5.978 2.163
Hg 0.645 -2.401 2.073
Pt 5.249 -3.753 0.140
Pt 2.938 -6.748 0.192
Pt -0.058 -4.439 0.108
Pt 2.253 -1.443 0.056

[10]
4
Lattice="3.821 0.000 0.000 0.000 3.811 0.003 0.000 3.726 12.725" Properties=species:S:1:pos:R:3 comment="K2CaSc (PBE-GGA, optimized geometry)" final_energy_ev_per_cell=-9.18 volume_a3_per_cell=185 formation_energy_ev_per_atom=0.3366 m_tot_mub_per_atom=0.332 pbc="T T T"
Ca 1.910 5.661 8.973
K 0.000 3.759 12.428
K 1.910 1.856 3.690
Sc 0.000 3.755 6.725

[11]
32
Lattice="5.807 0.000 0.000 0.000 7.088 0.000 0.000 0.000 15.288" Properties=species:S:1:pos:R:3 comment="PmAl2Rh (PBE-GGA, optimized geometry)" final_energy_ev_per_cell=-181.81 volume_a3_per_cell=629 formation_energy_ev_per_atom=-0.7846 m_tot_mub_per_atom=0.000 pbc="T T T"
Pm 2.688 1.772 2.097
Pm 5.591 5.316 5.547
Pm 3.119 5.316 13.191
Pm 0.216 1.772 9.741
Pm 4.337 1.772 6.107
Pm 1.434 5.316 1.537
Pm 1.470 5.316 9.181
Pm 4.373 1.772 13.751
Al 5.458 0.376 3.208
Al 2.554 6.713 4.435
Al 0.349 3.920 12.079
Al 3.253 3.169 10.852
Al 0.349 6.713 12.079
Al 3.253 0.376 10.852
Al 5.458 3.169 3.208
Al 2.554 3.920 4.435
Al 4.454 3.975 0.691
Al 1.551 3.114 6.953
Al 1.353 0.430 14.597
Al 4.256 6.658 8.335
Al 1.353 3.114 14.597
Al 4.256 3.975 8.335
Al 4.454 6.658 0.691
Al 1.551 0.430 6.953
Rh 1.191 1.772 4.736
Rh 4.094 5.316 2.908
Rh 4.616 5.316 10.552
Rh 1.713 1.772 12.379
Rh 5.773 1.772 1.081
Rh 2.869 5.316 6.563
Rh 0.034 5.316 14.207
Rh 2.938 1.772 8.725

[12]
10
Lattice="-3.440 -4.849 -4.522 5.621 0.570 -4.887 1.238 -1.989 1.192" Properties=species:S:1:pos:R:3 comment="NaFe2Pt2 (PBE-GGA, optimized geometry)" final_energy_ev_per_cell=-59.46 volume_a3_per_cell=147 formation_energy_ev_per_atom=0.1191 m_tot_mub_per_atom=0.000 pbc="T T T"
Na 0.000 0.000 0.000
Na 1.090 -2.140 -4.705
Fe 3.664 -1.391 -6.128
Fe 0.353 -3.977 -7.005
Fe -1.484 -2.889 -3.282
Fe 1.828 -0.303 -2.404
Pt 3.834 -1.504 -3.595
Pt 2.837 -3.856 -6.485
Pt -0.416 -4.765 -4.623
Pt 0.581 -2.413 -1.733